VASP calculation (PBE) on a relaxed structure of Ca3IrOs.

Computed properties:
energy above the most stable polymorph in this dataset = 0.0 kJ per mole of atoms
crystal system = cubic
DOS at the Fermi energy = 7.6 states/eV per cell
total DFT energy (no corrections) = -4.40 eV per atom
DFT formation energy = 0.8143 eV/atom

Cell: 5.3025 5.3025 5.3025 Å, 90.00 90.00 90.00°
Last column: magnetic moment on the atom in μB.
Sites, in units of the cell vectors:
Ca1 0.0000 0.5000 0.0000  -0.04
Ca2 0.5000 0.0000 0.0000  -0.05
Ca3 0.0000 0.0000 0.5000  -0.04
Os1 0.5000 0.5000 0.5000  1.69
Ir1 0.0000 0.0000 0.0000  0.02

---

VASP calculation (PBE) on a relaxed structure of CaIrOs.

Computed properties:
energy above the most stable polymorph in this dataset = 50.2 kJ per mole of atoms
crystal system = cubic
DOS at the Fermi energy = 5.2 states/eV per cell
total DFT energy (no corrections) = -6.71 eV per atom
DFT formation energy = 0.6535 eV/atom

Cell: 4.4230 4.4230 4.4230 Å, 60.00 60.00 60.00°
Sites, in units of the cell vectors:
Os1 0.0000 0.0000 0.0000
Ca1 0.5000 0.5000 0.5000
Ir1 0.7500 0.7500 0.7500

---

VASP calculation (PBE) on a relaxed structure of CaTeIr2Os.

Computed properties:
crystal system = tetragonal
formation energy without anion corrections = 2635 meV/atom
DOS at the Fermi energy = 10.3 states/eV per cell
total DFT energy (no corrections) = -4.18 eV per atom

Cell: 4.6855 5.2026 4.6855 Å, 90.00 90.00 90.00°
Sites, in units of the cell vectors:
Ir1 0.5000 0.0000 0.0000
Ir2 0.0000 0.0000 0.5000
Te1 0.0000 0.5000 0.0000
Ca1 0.0000 0.0000 0.0000
Os1 0.5000 0.5000 0.5000

---

VASP calculation (PBE) on a relaxed structure of CaIrOs2W.

Computed properties:
crystal system = tetragonal
DOS at the Fermi energy = 7.8 states/eV per cell
total DFT energy (no corrections) = -7.11 eV per atom
DFT formation energy = 2.1402 eV/atom

Cell: 4.6711 5.0632 4.6711 Å, 90.00 90.00 90.00°
Sites, in units of the cell vectors:
Os1 0.0000 0.0000 0.5000
Os2 0.5000 0.0000 0.0000
Ir1 0.5000 0.5000 0.5000
W1 0.0000 0.0000 0.0000
Ca1 0.0000 0.5000 0.0000

---

VASP calculation (PBE) on a relaxed structure of CaP2Ir.

Computed properties:
energy above the most stable polymorph in this dataset = 17.4 kJ per mole of atoms
crystal system = tetragonal
DOS at the Fermi energy = 4.3 states/eV per cell
total DFT energy (no corrections) = -6.02 eV per atom
DFT formation energy = -0.5995 eV/atom

Cell: 7.0581 7.0581 6.0163 Å, 54.08 54.08 90.00°
Sites, in units of the cell vectors:
Ca1 0.2500 0.7500 0.5000
Ca2 0.5000 0.5000 0.0000
P1 0.0375 0.6250 0.2500
P2 0.3750 0.2875 0.7500
P3 0.8750 0.9625 0.7500
P4 0.7125 0.1250 0.2500
Ir1 0.7500 0.2500 0.5000
Ir2 0.0000 0.0000 0.0000

---

VASP calculation (PBE) on a relaxed structure of CaP2Ir.

Computed properties:
energy above the most stable polymorph in this dataset = 22.3 kJ per mole of atoms
crystal system = orthorhombic
DOS at the Fermi energy = 1.7 states/eV per cell
total DFT energy (no corrections) = -5.97 eV per atom
DFT formation energy = -0.5484 eV/atom

Cell: 4.8339 4.8339 4.8339 Å, 131.27 106.19 93.53°
Sites, in units of the cell vectors:
Ir1 0.2500 0.7500 0.5000
P1 0.4335 0.4335 0.0000
P2 0.0665 0.0665 0.0000
Ca1 0.7500 0.2500 0.5000

---

VASP calculation (PBE) on a relaxed structure of CaPIr2.

Computed properties:
crystal system = monoclinic
DOS at the Fermi energy = 2.5 states/eV per cell
total DFT energy (no corrections) = -6.65 eV per atom
DFT formation energy = -0.3660 eV/atom

Cell: 5.2148 5.2148 5.5375 Å, 65.31 65.31 33.40°
Sites, in units of the cell vectors:
Ir1 0.0252 0.0252 0.8415
Ir2 0.7553 0.7553 0.8005
Ca1 0.2614 0.2614 0.2724
P1 0.4581 0.4581 0.5856

---

VASP calculation (PBE) on a relaxed structure of CaPIr2.

Computed properties:
crystal system = monoclinic
DOS at the Fermi energy = 1.9 states/eV per cell
total DFT energy (no corrections) = -6.31 eV per atom
DFT formation energy = -0.0315 eV/atom

Cell: 2.9371 4.9188 5.4074 Å, 55.03 90.00 90.00°
Sites, in units of the cell vectors:
Ir1 0.0000 0.0000 0.0000
Ir2 0.5000 0.5000 0.0000
P1 0.5000 0.5000 0.5000
Ca1 0.0000 0.0000 0.5000

---

VASP calculation (PBE) on a relaxed structure of Ca3P5Ir6.

Computed properties:
crystal system = orthorhombic
DOS at the Fermi energy = 8.6 states/eV per cell
total DFT energy (no corrections) = -6.96 eV per atom
DFT formation energy = -0.8018 eV/atom

Cell: 3.8648 9.9553 12.2012 Å, 90.00 90.00 90.00°
Sites, in units of the cell vectors:
P1 0.0000 0.5242 0.1193
P2 0.0000 0.8403 0.6746
P3 0.5000 0.4758 0.3807
P4 0.5000 0.1022 0.5000
P5 0.5000 0.1597 0.1746
P6 0.0000 0.8978 0.0000
P7 0.0000 0.5242 0.8807
P8 0.5000 0.4758 0.6193
P9 0.5000 0.1597 0.8254
P10 0.0000 0.8403 0.3254
Ca1 0.0000 0.2443 0.6472
Ca2 0.0000 0.2707 0.0000
Ca3 0.0000 0.2443 0.3528
Ca4 0.5000 0.7557 0.1472
Ca5 0.5000 0.7557 0.8528
Ca6 0.5000 0.7293 0.5000
Ir1 0.5000 0.9767 0.3311
Ir2 0.0000 0.6078 0.2963
Ir3 0.0000 0.0233 0.1689
Ir4 0.5000 0.0311 0.0000
Ir5 0.0000 0.4869 0.5000
Ir6 0.5000 0.9767 0.6689
Ir7 0.0000 0.6078 0.7037
Ir8 0.5000 0.3922 0.7963
Ir9 0.0000 0.0233 0.8311
Ir10 0.5000 0.5131 0.0000
Ir11 0.0000 0.9689 0.5000
Ir12 0.5000 0.3922 0.2037

---

VASP calculation (PBE) on a relaxed structure of CaP2Ir3.

Computed properties:
crystal system = monoclinic
DOS at the Fermi energy = 5.6 states/eV per cell
total DFT energy (no corrections) = -7.28 eV per atom
DFT formation energy = -0.7154 eV/atom

Cell: 3.9107 8.1218 9.7812 Å, 106.70 90.00 103.93°
Sites, in units of the cell vectors:
Ir1 0.9645 0.9290 0.6854
Ir2 0.6317 0.2635 0.2096
Ir3 0.7783 0.5566 0.6018
Ir4 0.6781 0.3562 0.9518
Ir5 0.3219 0.6438 0.0482
Ir6 0.5000 0.0000 0.5000
Ir7 0.2217 0.4434 0.3982
Ir8 0.0355 0.0710 0.3146
Ir9 0.3683 0.7365 0.7904
P1 0.8008 0.6017 0.8632
P2 0.6365 0.2729 0.4506
P3 0.1992 0.3983 0.1368
P4 0.4582 0.9164 0.2207
P5 0.5418 0.0836 0.7793
P6 0.3635 0.7271 0.5494
Ca1 0.0000 0.0000 0.0000
Ca2 0.1568 0.3137 0.6937
Ca3 0.8432 0.6863 0.3063

---

VASP calculation (PBE) on a relaxed structure of CaP3Ir5.

Computed properties:
crystal system = orthorhombic
DOS at the Fermi energy = 9.4 states/eV per cell
total DFT energy (no corrections) = -7.46 eV per atom
DFT formation energy = -0.5135 eV/atom

Cell: 3.9434 6.4026 12.2448 Å, 90.00 90.00 107.94°
Sites, in units of the cell vectors:
Ca1 0.8505 0.7010 0.7500
Ca2 0.1495 0.2990 0.2500
P1 0.1225 0.2450 0.7500
P2 0.6067 0.2134 0.4484
P3 0.3933 0.7866 0.5516
P4 0.3933 0.7866 0.9484
P5 0.8775 0.7550 0.2500
P6 0.6067 0.2134 0.0516
Ir1 0.0000 0.0000 0.0000
Ir2 0.5662 0.1324 0.8604
Ir3 0.5662 0.1324 0.6396
Ir4 0.2137 0.4274 0.9229
Ir5 0.4338 0.8676 0.1396
Ir6 0.7863 0.5726 0.0771
Ir7 0.7863 0.5726 0.4229
Ir8 0.4338 0.8676 0.3604
Ir9 0.2137 0.4274 0.5771
Ir10 0.0000 0.0000 0.5000

---

VASP calculation (PBE) on a relaxed structure of CaPIr2.

Computed properties:
crystal system = monoclinic
DOS at the Fermi energy = 3.3 states/eV per cell
total DFT energy (no corrections) = -6.25 eV per atom
DFT formation energy = 0.0329 eV/atom

Cell: 5.4990 5.4990 2.8178 Å, 75.03 75.03 118.19°
Sites, in units of the cell vectors:
P1 0.5000 0.0000 0.5000
Ir1 0.0000 0.0000 0.0000
Ir2 0.5000 0.5000 0.0000
Ca1 0.0000 0.5000 0.5000

---

VASP calculation (PBE) on a relaxed structure of CaP2Ir.

Computed properties:
energy above the most stable polymorph in this dataset = 97.4 kJ per mole of atoms
crystal system = cubic
DOS at the Fermi energy = 3.2 states/eV per cell
total DFT energy (no corrections) = -5.19 eV per atom
DFT formation energy = 0.2304 eV/atom

Cell: 4.5791 4.5791 4.5791 Å, 60.00 60.00 60.00°
Sites, in units of the cell vectors:
Ir1 0.7500 0.7500 0.7500
P1 0.2500 0.2500 0.2500
P2 0.0000 0.0000 0.0000
Ca1 0.5000 0.5000 0.5000

---

VASP calculation (PBE) on a relaxed structure of CaP2Ir.

Computed properties:
energy above the most stable polymorph in this dataset = 14.7 kJ per mole of atoms
crystal system = monoclinic
DOS at the Fermi energy = 2.6 states/eV per cell
total DFT energy (no corrections) = -6.05 eV per atom
DFT formation energy = -0.6274 eV/atom

Cell: 4.4052 4.4052 8.9239 Å, 98.44 98.44 89.04°
Sites, in units of the cell vectors:
P1 0.6079 0.3224 0.0468
P2 0.3224 0.6079 0.5468
P3 0.4891 0.9298 0.7481
P4 0.9298 0.4891 0.2481
Ca1 0.1016 0.8534 0.0107
Ca2 0.8534 0.1016 0.5107
Ir1 0.5202 0.4426 0.7975
Ir2 0.4426 0.5202 0.2975

---

VASP calculation (PBE) on a relaxed structure of CaPIr2.

Computed properties:
crystal system = tetragonal
DOS at the Fermi energy = 2.3 states/eV per cell
total DFT energy (no corrections) = -6.32 eV per atom
DFT formation energy = -0.0347 eV/atom

Cell: 3.7457 4.1154 4.1154 Å, 90.00 90.00 90.00°
Sites, in units of the cell vectors:
Ir1 0.0000 0.5000 0.5000
Ir2 0.0000 0.0000 0.0000
Ca1 0.5000 0.0000 0.5000
P1 0.5000 0.5000 0.0000

---

VASP calculation (PBE) on a relaxed structure of CaP2Ir.

Computed properties:
energy above the most stable polymorph in this dataset = 54.3 kJ per mole of atoms
crystal system = tetragonal
DOS at the Fermi energy = 3.0 states/eV per cell
total DFT energy (no corrections) = -5.64 eV per atom
DFT formation energy = -0.2171 eV/atom

Cell: 3.3369 3.3369 6.3650 Å, 90.00 90.00 90.00°
Sites, in units of the cell vectors:
Ir1 0.5000 0.5000 0.8423
Ca1 0.0000 0.0000 0.4780
P1 0.0000 0.0000 0.9646
P2 0.5000 0.5000 0.2151

---

VASP calculation (PBE) on a relaxed structure of CaP2Ir.

Computed properties:
energy above the most stable polymorph in this dataset = 53.6 kJ per mole of atoms
crystal system = orthorhombic
DOS at the Fermi energy = 3.2 states/eV per cell
total DFT energy (no corrections) = -5.64 eV per atom
DFT formation energy = -0.2238 eV/atom

Cell: 3.4645 3.4645 6.1943 Å, 90.00 90.00 103.93°
Sites, in units of the cell vectors:
Ca1 0.5000 0.5000 0.2500
Ir1 0.5000 0.5000 0.7500
P1 0.0000 0.0000 0.9384
P2 0.0000 0.0000 0.5616

---

VASP calculation (PBE) on a relaxed structure of CaPIr2.

Computed properties:
crystal system = tetragonal
DOS at the Fermi energy = 2.1 states/eV per cell
total DFT energy (no corrections) = -6.23 eV per atom
DFT formation energy = 0.0577 eV/atom

Cell: 4.8055 4.8055 4.8055 Å, 129.58 129.58 74.08°
Sites, in units of the cell vectors:
P1 0.2500 0.7500 0.5000
Ir1 0.5000 0.5000 0.0000
Ir2 0.0000 0.0000 0.0000
Ca1 0.7500 0.2500 0.5000

---

VASP calculation (PBE) on a relaxed structure of CaP2Ir.

Computed properties:
energy above the most stable polymorph in this dataset = 55.0 kJ per mole of atoms
crystal system = tetragonal
DOS at the Fermi energy = 2.0 states/eV per cell
total DFT energy (no corrections) = -5.63 eV per atom
DFT formation energy = -0.2097 eV/atom

Cell: 3.1375 3.1375 6.8315 Å, 90.00 90.00 90.00°
Sites, in units of the cell vectors:
Ca1 0.5000 0.5000 0.2500
P1 0.0000 0.0000 0.5496
P2 0.0000 0.0000 0.9504
Ir1 0.5000 0.5000 0.7500

---

VASP calculation (PBE) on a relaxed structure of CaPIr2.

Computed properties:
crystal system = tetragonal
DOS at the Fermi energy = 3.5 states/eV per cell
total DFT energy (no corrections) = -6.46 eV per atom
DFT formation energy = -0.1725 eV/atom

Cell: 3.0356 3.0356 7.3052 Å, 90.00 90.00 90.00°
Sites, in units of the cell vectors:
Ca1 0.5000 0.5000 0.7458
P1 0.0000 0.0000 0.4405
Ir1 0.5000 0.5000 0.2830
Ir2 0.0000 0.0000 0.0307